Mg2Cd3Ga2 after structural relaxation, computed with PBE-GGA.

Values from the calculation:
For the polymorph energy (0 for the lowest one), the calculation gives 0.0000 eV per atom. The value obtained for the total energy is -12.5 eV per cell. The space group is Cmmm (65). As for the formation energy: -6.38 kJ per mole of atoms.

Unit cell a=3.2749 b=4.3742 c=10.4357 alpha=102.10 beta=90.00 gamma=90.00
Last column: nearest neighbours and their distance in Å.
Fractional positions:
1 Cd 0.0000 0.0000 0.0000  10 Cd 3.14-3.27, 2 Mg 3.25
2 Mg 0.0000 0.8410 0.6819  6 Ga 2.96-3.05, 5 Cd 3.21-3.25, 2 Mg 3.27
3 Ga 0.5000 0.7147 0.4294  2 Ga 2.62, 1 Cd 2.83
4 Ga 0.5000 0.2853 0.5706  2 Ga 2.62, 1 Cd 2.83
5 Mg 0.0000 0.1590 0.3181  6 Ga 2.96-3.05, 5 Cd 3.21-3.25, 2 Mg 3.27
6 Cd 0.5000 0.4239 0.8478  1 Ga 2.83, 5 Cd 3.11-3.14
7 Cd 0.5000 0.5761 0.1522  1 Ga 2.83, 5 Cd 3.11-3.14